Entry 1:
# Al3Ag, relaxed, DFT GGA-PBEsol
data_Al3Ag
_symmetry_space_group_name_H-M 'P 1'
_symmetry_Int_Tables_number 1
_symmetry_space_group_name_Hall 'P 1'
_cell_length_a 4.1283
_cell_length_b 5.6249
_cell_length_c 5.6249
_cell_angle_alpha 90.32
_cell_angle_beta 90.00
_cell_angle_gamma 90.00
loop_
_atom_site_label
_atom_site_type_symbol
_atom_site_fract_x
_atom_site_fract_y
_atom_site_fract_z
Al1 Al 0.7500 0.1222 0.8778
Al2 Al 0.2500 0.8778 0.1222
Al3 Al 0.7500 0.1275 0.3740
Al4 Al 0.2500 0.8725 0.6260
Al5 Al 0.7500 0.6260 0.8725
Al6 Al 0.2500 0.3740 0.1275
Ag1 Ag 0.7500 0.6323 0.3677
Ag2 Ag 0.2500 0.3677 0.6323
# Formation enthalpy at 0 K   -9 meV per atom
# Space-group type   Cmcm, No. 63

---

Entry 2:
# Al5Ag2, relaxed, DFT GGA-PBEsol
data_Al5Ag2
_symmetry_space_group_name_H-M 'P 1'
_symmetry_Int_Tables_number 1
_symmetry_space_group_name_Hall 'P 1'
_cell_length_a 2.8188
_cell_length_b 3.9958
_cell_length_c 10.3990
_cell_angle_alpha 101.08
_cell_angle_beta 97.79
_cell_angle_gamma 90.00
loop_
_atom_site_label
_atom_site_type_symbol
_atom_site_fract_x
_atom_site_fract_y
_atom_site_fract_z
Al1 Al 0.0000 0.0000 0.0000
Al2 Al 0.8575 0.8575 0.7150
Al3 Al 0.2848 0.2848 0.5696
Al4 Al 0.7152 0.7152 0.4304
Al5 Al 0.1425 0.1425 0.2850
Ag1 Ag 0.5725 0.5725 0.1451
Ag2 Ag 0.4275 0.4275 0.8549
# Energy above the most stable polymorph in this dataset   26 meV per atom
# Formation enthalpy at 0 K   -23 meV per atom
# Space-group type   Immm, No. 71

---

Entry 3:
# Al5Ag6, relaxed, DFT GGA-PBEsol
data_Al5Ag6
_symmetry_space_group_name_H-M 'P 1'
_symmetry_Int_Tables_number 1
_symmetry_space_group_name_Hall 'P 1'
_cell_length_a 4.8814
_cell_length_b 5.0554
_cell_length_c 7.3409
_cell_angle_alpha 94.02
_cell_angle_beta 96.58
_cell_angle_gamma 98.44
loop_
_atom_site_label
_atom_site_type_symbol
_atom_site_fract_x
_atom_site_fract_y
_atom_site_fract_z
Al1 Al 0.5000 0.0000 0.0000
Al2 Al 0.3117 0.6369 0.2643
Al3 Al 0.8573 0.7271 0.4562
Al4 Al 0.1427 0.2729 0.5438
Al5 Al 0.6883 0.3631 0.7357
Ag1 Ag 0.9448 0.9122 0.8124
Ag2 Ag 0.2297 0.4526 0.9039
Ag3 Ag 0.7703 0.5474 0.0961
Ag4 Ag 0.0552 0.0878 0.1876
Ag5 Ag 0.6028 0.1906 0.3744
Ag6 Ag 0.3972 0.8094 0.6256
# Energy above the most stable polymorph in this dataset   0 meV per atom
# Formation enthalpy at 0 K   -69 meV per atom
# Space-group type   P-1, No. 2

---

Entry 4:
# AlAg, relaxed, DFT GGA-PBEsol
data_AlAg
_symmetry_space_group_name_H-M 'P 1'
_symmetry_Int_Tables_number 1
_symmetry_space_group_name_Hall 'P 1'
_cell_length_a 2.9621
_cell_length_b 3.9522
_cell_length_c 11.1139
_cell_angle_alpha 90.00
_cell_angle_beta 90.00
_cell_angle_gamma 90.00
loop_
_atom_site_label
_atom_site_type_symbol
_atom_site_fract_x
_atom_site_fract_y
_atom_site_fract_z
Al1 Al 0.0000 0.0000 0.1925
Al2 Al 0.5000 0.5000 0.0584
Al3 Al 0.0000 0.0000 0.9416
Al4 Al 0.5000 0.5000 0.8075
Ag1 Ag 0.0000 0.0000 0.6985
Ag2 Ag 0.5000 0.5000 0.5641
Ag3 Ag 0.0000 0.0000 0.4359
Ag4 Ag 0.5000 0.5000 0.3015
# Formation enthalpy at 0 K   -39 meV per atom
# Space-group type   Pmmn, No. 59

---

Entry 5:
# Al3Ag5, relaxed, DFT GGA-PBEsol
data_Al3Ag5
_symmetry_space_group_name_H-M 'P 1'
_symmetry_Int_Tables_number 1
_symmetry_space_group_name_Hall 'P 1'
_cell_length_a 3.9892
_cell_length_b 5.5644
_cell_length_c 5.8161
_cell_angle_alpha 90.00
_cell_angle_beta 90.00
_cell_angle_gamma 90.00
loop_
_atom_site_label
_atom_site_type_symbol
_atom_site_fract_x
_atom_site_fract_y
_atom_site_fract_z
Al1 Al 0.5000 0.7576 0.2539
Al2 Al 0.0000 0.4822 0.0000
Al3 Al 0.5000 0.7576 0.7461
Ag1 Ag 0.0000 0.9754 0.0000
Ag2 Ag 0.5000 0.2594 0.7555
Ag3 Ag 0.0000 0.5078 0.5000
Ag4 Ag 0.0000 0.0007 0.5000
Ag5 Ag 0.5000 0.2594 0.2445
# Energy above the most stable polymorph in this dataset   17 meV per atom
# Formation enthalpy at 0 K   -76 meV per atom
# Space-group type   Pmm2, No. 25

---

Entry 6:
# Al3Ag5, relaxed, DFT GGA-PBEsol
data_Al3Ag5
_symmetry_space_group_name_H-M 'P 1'
_symmetry_Int_Tables_number 1
_symmetry_space_group_name_Hall 'P 1'
_cell_length_a 2.9178
_cell_length_b 6.2244
_cell_length_c 7.4552
_cell_angle_alpha 85.53
_cell_angle_beta 78.72
_cell_angle_gamma 76.44
loop_
_atom_site_label
_atom_site_type_symbol
_atom_site_fract_x
_atom_site_fract_y
_atom_site_fract_z
Al1 Al 0.4976 0.5009 0.5040
Al2 Al 0.2550 0.2399 0.2501
Al3 Al 0.6257 0.6263 0.1222
Ag1 Ag 0.0021 0.9939 0.0018
Ag2 Ag 0.3643 0.3815 0.8899
Ag3 Ag 0.7545 0.7491 0.7419
Ag4 Ag 0.1179 0.1443 0.6199
Ag5 Ag 0.8825 0.8649 0.3702
# Energy above the most stable polymorph in this dataset   18 meV per atom
# Formation enthalpy at 0 K   -75 meV per atom
# Space-group type   Cm, No. 8

---

Entry 7:
# AlAg2, relaxed, DFT GGA-PBEsol
data_AlAg2
_symmetry_space_group_name_H-M 'P 1'
_symmetry_Int_Tables_number 1
_symmetry_space_group_name_Hall 'P 1'
_cell_length_a 5.6640
_cell_length_b 5.6640
_cell_length_c 6.3656
_cell_angle_alpha 103.04
_cell_angle_beta 103.04
_cell_angle_gamma 90.00
loop_
_atom_site_label
_atom_site_type_symbol
_atom_site_fract_x
_atom_site_fract_y
_atom_site_fract_z
Ag1 Ag 0.9971 0.0029 0.0000
Ag2 Ag 0.1596 0.6647 0.6584
Ag3 Ag 0.3363 0.3293 0.3445
Ag4 Ag 0.5013 0.0013 0.9972
Ag5 Ag 0.6707 0.6637 0.6555
Ag6 Ag 0.9987 0.4987 0.0028
Ag7 Ag 0.3353 0.8404 0.3416
Ag8 Ag 0.5009 0.4991 0.0000
Al1 Al 0.8328 0.3314 0.3299
Al2 Al 0.1668 0.1682 0.6738
Al3 Al 0.6686 0.1672 0.6701
Al4 Al 0.8318 0.8332 0.3262
# Formation enthalpy at 0 K   -75 meV per atom
# Space-group type   C2, No. 5

---

Entry 8:
# Al3Ag5, relaxed, DFT GGA-PBEsol
data_Al3Ag5
_symmetry_space_group_name_H-M 'P 1'
_symmetry_Int_Tables_number 1
_symmetry_space_group_name_Hall 'P 1'
_cell_length_a 4.9236
_cell_length_b 4.9236
_cell_length_c 6.3115
_cell_angle_alpha 104.72
_cell_angle_beta 104.72
_cell_angle_gamma 110.39
loop_
_atom_site_label
_atom_site_type_symbol
_atom_site_fract_x
_atom_site_fract_y
_atom_site_fract_z
Al1 Al 0.1221 0.1221 0.2442
Al2 Al 0.8779 0.8779 0.7558
Al3 Al 0.2500 0.7500 0.5000
Ag1 Ag 0.6321 0.6321 0.2642
Ag2 Ag 0.0060 0.5060 0.0120
Ag3 Ag 0.3679 0.3679 0.7358
Ag4 Ag 0.7500 0.2500 0.5000
Ag5 Ag 0.4940 0.9940 0.9880
# Energy above the most stable polymorph in this dataset   22 meV per atom
# Formation enthalpy at 0 K   -71 meV per atom
# Space-group type   F222, No. 22

---

Entry 9:
# Al5Ag3, relaxed, DFT GGA-PBEsol
data_Al5Ag3
_symmetry_space_group_name_H-M 'P 1'
_symmetry_Int_Tables_number 1
_symmetry_space_group_name_Hall 'P 1'
_cell_length_a 4.8664
_cell_length_b 5.7381
_cell_length_c 5.7381
_cell_angle_alpha 120.40
_cell_angle_beta 106.35
_cell_angle_gamma 73.65
loop_
_atom_site_label
_atom_site_type_symbol
_atom_site_fract_x
_atom_site_fract_y
_atom_site_fract_z
Al1 Al 0.5000 0.5000 0.0000
Al2 Al 0.5000 0.0000 0.5000
Al3 Al 0.0000 0.2488 0.2488
Al4 Al 0.0000 0.7512 0.7512
Al5 Al 0.5000 0.0000 0.0000
Ag1 Ag 0.0013 0.2461 0.7539
Ag2 Ag 0.9987 0.7539 0.2461
Ag3 Ag 0.5000 0.5000 0.5000
# Energy above the most stable polymorph in this dataset   47 meV per atom
# Formation enthalpy at 0 K   -12 meV per atom
# Space-group type   C2/m, No. 12

---

Entry 10:
# Al7Ag5, relaxed, DFT GGA-PBEsol
data_Al7Ag5
_symmetry_space_group_name_H-M 'P 1'
_symmetry_Int_Tables_number 1
_symmetry_space_group_name_Hall 'P 1'
_cell_length_a 5.6453
_cell_length_b 6.3006
_cell_length_c 6.3595
_cell_angle_alpha 73.71
_cell_angle_beta 64.05
_cell_angle_gamma 81.17
loop_
_atom_site_label
_atom_site_type_symbol
_atom_site_fract_x
_atom_site_fract_y
_atom_site_fract_z
Al1 Al 0.6624 0.6637 0.3346
Al2 Al 0.0780 0.3317 0.1694
Al3 Al 0.9209 0.6698 0.8324
Al4 Al 0.3313 0.3286 0.6648
Al5 Al 0.7480 0.9987 0.5156
Al6 Al 0.1706 0.6766 0.3225
Al7 Al 0.5867 0.3300 0.1613
Ag1 Ag 0.9838 0.9994 0.0169
Ag2 Ag 0.4154 0.6509 0.8381
Ag3 Ag 0.8480 0.3476 0.6495
Ag4 Ag 0.2590 0.9972 0.5012
Ag5 Ag 0.4960 0.0058 0.9936
# Energy above the most stable polymorph in this dataset   15 meV per atom
# Formation enthalpy at 0 K   -42 meV per atom
# Space-group type   P1, No. 1

---

Entry 11:
# Al2Ag3, relaxed, DFT GGA-PBEsol
data_Al2Ag3
_symmetry_space_group_name_H-M 'P 1'
_symmetry_Int_Tables_number 1
_symmetry_space_group_name_Hall 'P 1'
_cell_length_a 3.9625
_cell_length_b 6.3675
_cell_length_c 6.3675
_cell_angle_alpha 90.00
_cell_angle_beta 90.00
_cell_angle_gamma 90.00
loop_
_atom_site_label
_atom_site_type_symbol
_atom_site_fract_x
_atom_site_fract_y
_atom_site_fract_z
Al1 Al 0.5000 0.7998 0.8950
Al2 Al 0.0000 0.8950 0.2002
Al3 Al 0.0000 0.1050 0.7998
Al4 Al 0.5000 0.2002 0.1050
Ag1 Ag 0.0000 0.2904 0.3991
Ag2 Ag 0.5000 0.3991 0.7096
Ag3 Ag 0.0000 0.5000 0.0000
Ag4 Ag 0.5000 0.6009 0.2904
Ag5 Ag 0.0000 0.7096 0.6009
Ag6 Ag 0.5000 0.0000 0.5000
# Energy above the most stable polymorph in this dataset   0 meV per atom
# Formation enthalpy at 0 K   -84 meV per atom
# Space-group type   P4_2/m, No. 84

---

Entry 12:
# AlAg2, relaxed, DFT GGA-PBEsol
data_AlAg2
_symmetry_space_group_name_H-M 'P 1'
_symmetry_Int_Tables_number 1
_symmetry_space_group_name_Hall 'P 1'
_cell_length_a 2.9224
_cell_length_b 5.3780
_cell_length_c 6.5852
_cell_angle_alpha 102.78
_cell_angle_beta 90.00
_cell_angle_gamma 105.77
loop_
_atom_site_label
_atom_site_type_symbol
_atom_site_fract_x
_atom_site_fract_y
_atom_site_fract_z
Al1 Al 0.9545 0.9090 0.4035
Al2 Al 0.2725 0.5450 0.0461
Ag1 Ag 0.9883 0.9767 0.0106
Ag2 Ag 0.3346 0.6692 0.6579
Ag3 Ag 0.6712 0.3424 0.3206
Ag4 Ag 0.6122 0.2244 0.7280
# Formation enthalpy at 0 K   -97 meV per atom
# Space-group type   Cm, No. 8